#A
AlTeSe (PBE-GGA, optimized geometry); density = 4.10 Mg/m³; space group = Cm
1.0
3.7909 0.0000 0.0000
1.8954 3.1309 0.0577
1.8954 1.0911 7.9916
Al Te Se
1 1 1
direct
0.3718 0.6435 0.6129
0.2649 0.5361 0.9341
0.7553 0.0250 0.4644

***

#B
AlTeSe (PBE-GGA, optimized geometry); density = 4.58 Mg/m³; space group = Fmm2
1.0
-1.1647 -6.0721 -5.2639
2.3314 -5.5386 -4.9031
-1.4133 -2.7570 1.7433
Te Al Se
1 1 1
direct
0.3733 0.3733 0.6267
0.0111 0.0111 0.9889
0.6156 0.6156 0.3844

***

#C
AlTeSe (PBE-GGA, optimized geometry); density = 4.07 Mg/m³; space group = P2_1/c
1.0
7.1191 -0.8651 0.0000
-3.5818 9.1009 0.0000
0.0000 0.0000 6.1835
Se Al Te
4 4 4
direct
0.9770 0.5917 0.1435
0.5230 0.4083 0.6435
0.0230 0.4083 0.8565
0.4770 0.5917 0.3565
0.2000 0.3506 0.1713
0.3000 0.6494 0.6713
0.8000 0.6494 0.8287
0.7000 0.3506 0.3287
0.3890 0.1872 0.0643
0.1110 0.8128 0.5643
0.6110 0.8128 0.9357
0.8890 0.1872 0.4357

***

In order of decreasing stability: #A, #C, #B.

***

#A
AlTeSe4 (PBE-GGA, optimized geometry); density = 4.67 Mg/m³; space group = P2/m
1.0
3.7466 0.0000 0.0000
0.0000 6.2658 -1.7379
0.0000 -0.2117 7.1864
Al Te Se
1 1 4
direct
0.0000 0.5000 0.5000
0.5000 0.0000 0.5000
0.0000 0.2694 0.7349
0.0000 0.7306 0.2651
0.5000 0.7196 0.7200
0.5000 0.2804 0.2800

***

#B
AlTeSe4 (PBE-GGA, optimized geometry); density = 5.67 Mg/m³; space group = F-43m
1.0
-4.3997 1.8062 3.3163
-2.8073 4.8975 -1.3233
-5.4320 -0.2259 -2.0150
Al Te Se
1 1 4
direct
0.0000 0.0000 0.0000
0.7500 0.7500 0.7500
0.8746 0.3751 0.3751
0.3751 0.3751 0.8746
0.3751 0.8746 0.3751
0.3751 0.3751 0.3751

***

In order of decreasing stability: #A, #B.

***

#A
AlTlSe3 (PBE-GGA, optimized geometry); density = 4.90 Mg/m³; space group = Pm-3m
1.0
5.4121 0.0000 0.0000
0.0000 5.4121 0.0000
0.0000 0.0000 5.4121
Tl Al Se
1 1 3
direct
0.0000 0.0000 0.0000
0.5000 0.5000 0.5000
0.0000 0.5000 0.0000
0.0000 0.0000 0.5000
0.5000 0.0000 0.0000

***

#B
AlTlSe3 (PBE-GGA, optimized geometry); density = 6.13 Mg/m³; space group = Pm-3m
1.0
5.0238 0.0000 0.0000
0.0000 5.0238 0.0000
0.0000 0.0000 5.0238
Tl Al Se
1 1 3
direct
0.5000 0.5000 0.5000
0.0000 0.0000 0.0000
0.0000 0.5000 0.0000
0.0000 0.0000 0.5000
0.5000 0.0000 0.0000

***

In order of decreasing stability: #B, #A.

***

#A
Al2Tl2Se (PBE-GGA, optimized geometry); density = 7.17 Mg/m³; space group = P4/mbm
1.0
-1.8688 0.9416 -8.2141
-7.3045 -4.1332 1.1881
-1.5951 3.0228 0.7094
Tl Al Se
4 4 2
direct
0.3118 0.8118 0.0000
0.8118 0.6882 0.0000
0.6882 0.1882 0.0000
0.1882 0.3118 0.0000
0.1125 0.6125 0.5000
0.6125 0.8875 0.5000
0.8875 0.3875 0.5000
0.3875 0.1125 0.5000
0.0000 0.0000 0.0000
0.5000 0.5000 0.0000

***

#B
Al2Tl2Se (PBE-GGA, optimized geometry); density = 6.98 Mg/m³; space group = I4/mmm
1.0
-3.2638 1.2073 1.6288
-2.0066 -1.4824 -2.9222
-3.2933 -7.7072 3.6452
Tl Al Se
2 2 1
direct
0.4038 0.4038 0.1924
0.5962 0.5962 0.8076
0.7500 0.2500 0.5000
0.2500 0.7500 0.5000
0.0000 0.0000 0.0000

***

#C
Al2Tl2Se (PBE-GGA, optimized geometry); density = 7.19 Mg/m³; space group = P4/mbm
1.0
7.0375 0.0000 0.0000
0.0000 7.0375 0.0000
0.0000 0.0000 5.0551
Tl Al Se
4 4 2
direct
0.1727 0.6727 0.5000
0.6727 0.8273 0.5000
0.8273 0.3273 0.5000
0.3273 0.1727 0.5000
0.3627 0.8627 0.0000
0.8627 0.6373 0.0000
0.6373 0.1373 0.0000
0.1373 0.3627 0.0000
0.0000 0.0000 0.0000
0.5000 0.5000 0.0000

***

In order of decreasing stability: #C, #B, #A.

***

#A
Al3TlSe (PBE-GGA, optimized geometry); density = 4.67 Mg/m³; space group = Pm-3m
1.0
5.0614 0.0000 0.0000
0.0000 5.0614 0.0000
0.0000 0.0000 5.0614
Tl Al Se
1 3 1
direct
0.5000 0.5000 0.5000
0.0000 0.5000 0.0000
0.0000 0.0000 0.5000
0.5000 0.0000 0.0000
0.0000 0.0000 0.0000

***

#B
Al3TlSe (PBE-GGA, optimized geometry); density = 4.19 Mg/m³; space group = Pm-3m
1.0
5.2446 0.0000 0.0000
0.0000 5.2446 0.0000
0.0000 0.0000 5.2446
Tl Al Se
1 3 1
direct
0.0000 0.0000 0.0000
0.0000 0.5000 0.0000
0.0000 0.0000 0.5000
0.5000 0.0000 0.0000
0.5000 0.5000 0.5000

***

In order of decreasing stability: #A, #B.

***

#A
Al2TlSe2 (PBE-GGA, optimized geometry); density = 6.02 Mg/m³; space group = I4/mmm
1.0
-1.0248 -3.2718 3.7017
4.2569 -2.5033 -1.0340
3.8576 -0.2829 4.2565
Tl Al Se
1 2 2
direct
0.0000 0.0000 0.0000
0.3518 0.3518 0.2965
0.6482 0.6482 0.7035
0.7500 0.2500 0.5000
0.2500 0.7500 0.5000

***

#B
Al2TlSe2 (PBE-GGA, optimized geometry); density = 5.23 Mg/m³; space group = I4/mmm
1.0
-1.1113 -0.5707 -4.7612
-4.5477 -1.4245 1.2322
-4.5140 4.1831 -1.9923
Tl Al Se
1 2 2
direct
0.0000 0.0000 0.0000
0.7500 0.2500 0.5000
0.2500 0.7500 0.5000
0.3359 0.3359 0.3282
0.6641 0.6641 0.6718

***

In order of decreasing stability: #A, #B.

***

#A
AlTlSe4 (PBE-GGA, optimized geometry); density = 6.19 Mg/m³; space group = F-43m
1.0
2.9106 -4.6827 2.1603
-2.6227 -3.5553 3.9430
-1.6209 -5.4753 -1.5684
Al Tl Se
1 1 4
direct
0.0000 0.0000 0.0000
0.7500 0.7500 0.7500
0.8772 0.3743 0.3743
0.3743 0.3743 0.8772
0.3743 0.8772 0.3743
0.3743 0.3743 0.3743

***

#B
AlTlSe4 (PBE-GGA, optimized geometry); density = 4.76 Mg/m³; space group = C2/c
1.0
9.8994 -2.4580 -2.6165
-6.6413 8.4323 -2.9701
-0.1455 -0.6237 6.1859
Al Tl Se
2 2 8
direct
0.1630 0.9130 0.8259
0.8370 0.0870 0.1741
0.4282 0.6782 0.3564
0.5718 0.3218 0.6436
0.9407 0.1908 0.8920
0.7702 0.6755 0.5351
0.4513 0.7011 0.8920
0.2649 0.8596 0.5351
0.7351 0.1404 0.4649
0.5487 0.2989 0.1080
0.2298 0.3245 0.4649
0.0593 0.8092 0.1080

***

In order of decreasing stability: #B, #A.

***

#A
AlV2Se (PBE-GGA, optimized geometry); density = 5.84 Mg/m³; space group = Fm-3m
1.0
3.6686 0.7162 2.2659
0.0004 -0.4266 4.3501
2.1035 -3.3455 1.8677
Al Se V
1 1 2
direct
0.0000 0.0000 0.0000
0.5000 0.5000 0.5000
0.2500 0.2500 0.2500
0.7500 0.7500 0.7500

***

#B
AlV2Se (PBE-GGA, optimized geometry); density = 5.28 Mg/m³; space group = I-42d
1.0
-2.2139 5.7402 3.2841
-5.2611 0.5697 -4.5424
-5.2809 1.6453 0.9691
Al Se V
2 2 4
direct
0.5000 0.5000 0.0000
0.2500 0.7500 0.5000
0.0000 0.0000 0.0000
0.7500 0.2500 0.5000
0.6640 0.1250 0.2500
0.0860 0.6250 0.2500
0.3750 0.3360 0.7500
0.8750 0.9140 0.7500

***

In order of decreasing stability: #A, #B.

***

#A
AlVSe3 (PBE-GGA, optimized geometry); density = 4.58 Mg/m³; space group = Pm-3m
1.0
-3.5257 -3.1425 1.1021
3.2364 -2.8552 2.2122
-0.7846 2.3437 4.1728
Al Se V
1 3 1
direct
0.0000 0.0000 0.0000
0.0000 0.5000 0.0000
0.0000 0.0000 0.5000
0.5000 0.0000 0.0000
0.5000 0.5000 0.5000

***

#B
AlVSe3 (PBE-GGA, optimized geometry); density = 4.56 Mg/m³; space group = Cmc2_1
1.0
3.6226 0.0000 0.0000
0.0000 6.5717 0.0000
-1.8113 0.0000 9.6343
Al V Se
2 2 6
direct
0.3481 0.4994 0.6961
0.6519 0.9994 0.3039
0.8270 0.9932 0.6540
0.1730 0.4932 0.3460
0.9032 0.3107 0.8064
0.0968 0.8107 0.1936
0.5981 0.3356 0.1962
0.4019 0.8356 0.8038
0.7545 0.6552 0.5089
0.2455 0.1552 0.4911

***

#C
AlVSe3 (PBE-GGA, optimized geometry); density = 4.53 Mg/m³; space group = Pm-3m
1.0
4.8684 0.0000 0.0000
0.0000 4.8684 0.0000
0.0000 0.0000 4.8684
Al Se V
1 3 1
direct
0.5000 0.5000 0.5000
0.0000 0.5000 0.0000
0.0000 0.0000 0.5000
0.5000 0.0000 0.0000
0.0000 0.0000 0.0000

***

In order of decreasing stability: #B, #C, #A.

***

#A
AlWSe3 (PBE-GGA, optimized geometry); density = 6.02 Mg/m³; space group = Pm-3m
1.0
-0.7348 4.6966 -1.4800
-3.6129 -1.5309 -3.0645
-3.3459 0.6217 3.6341
Se W Al
3 1 1
direct
0.0000 0.5000 0.0000
0.0000 0.0000 0.5000
0.5000 0.0000 0.0000
0.0000 0.0000 0.0000
0.5000 0.5000 0.5000

***

#B
AlWSe3 (PBE-GGA, optimized geometry); density = 6.78 Mg/m³; space group = Pm-3m
1.0
-1.4223 3.4965 2.9441
-3.3169 -2.9111 1.8548
3.1451 -1.4888 3.2876
Se W Al
3 1 1
direct
0.0000 0.5000 0.0000
0.0000 0.0000 0.5000
0.5000 0.0000 0.0000
0.5000 0.5000 0.5000
0.0000 0.0000 0.0000

***

In order of decreasing stability: #A, #B.

***

#A
AlW2Se2 (PBE-GGA, optimized geometry); density = 8.49 Mg/m³; space group = I4/mmm
1.0
-0.9758 -1.5803 3.3669
2.9350 -2.4652 -0.3065
5.3241 2.7164 5.0137
Se W Al
2 2 1
direct
0.3711 0.3711 0.2577
0.6289 0.6289 0.7423
0.7500 0.2500 0.5000
0.2500 0.7500 0.5000
0.0000 0.0000 0.0000

***

#B
AlW2Se2 (PBE-GGA, optimized geometry); density = 10.82 Mg/m³; space group = P4/mbm
1.0
7.6018 0.0000 0.0000
0.0000 7.6018 0.0000
0.0000 0.0000 2.9337
Se W Al
4 4 2
direct
0.3672 0.8672 0.0000
0.8672 0.6328 0.0000
0.6328 0.1328 0.0000
0.1328 0.3672 0.0000
0.1708 0.6708 0.5000
0.6708 0.8292 0.5000
0.8292 0.3292 0.5000
0.3292 0.1708 0.5000
0.0000 0.0000 0.0000
0.5000 0.5000 0.0000

***

In order of decreasing stability: #A, #B.